# MgHgSe2

An optimized crystal structure of MgHgSe2 (GGA-PBEsol, the Alexandria database).

Computed properties:
Theoretical density (g/cm3): 5.7
Energy relative to the elements, uncorrected (meV/atom): -622
Spin magnetization (μB/f.u.): 0.000
Energy relative to the lowest polymorph listed for this composition (meV per atom): 69

a b c (Å): 4.1585 4.1585 22.4019
angles (deg): 90.00 90.00 120.00
Space group R-3m (No. 166, hexagonal axes)
Symmetry-distinct sites (fractional):
Mg1 0.0000 0.0000 0.0000 (multiplicity 3)
Hg1 0.0000 0.0000 0.5000 (multiplicity 3)
Se1 0.0000 0.0000 0.3908 (multiplicity 6)



# MgHgSe2

An optimized crystal structure of MgHgSe2 (GGA-PBEsol, the Alexandria database).

Computed properties:
Theoretical density (g/cm3): 6.8
Energy relative to the elements, uncorrected (meV/atom): -278
D(E_F) (states/eV/cell): 8.63
Spin magnetization (μB/f.u.): 0.000
Energy relative to the lowest polymorph listed for this composition (meV per atom): 414

a b c (Å): 3.2570 3.2570 30.3810
angles (deg): 90.00 90.00 120.00
Space group R-3m (No. 166, hexagonal axes)
Symmetry-distinct sites (fractional):
Mg1 0.0000 0.0000 0.0000 (multiplicity 3)
Hg1 0.0000 0.0000 0.5000 (multiplicity 3)
Se1 0.0000 0.0000 0.2710 (multiplicity 6)



# MgHg3Se

An optimized crystal structure of MgHg3Se (GGA-PBEsol, the Alexandria database).

Computed properties:
Theoretical density (g/cm3): 7.5
Energy relative to the elements, uncorrected (meV/atom): 324
D(E_F) (states/eV/cell): 1.28
Spin magnetization (μB/f.u.): 0.000

a b c (Å): 5.3938 5.3938 5.3938
angles (deg): 90.00 90.00 90.00
Space group Pm-3m (No. 221)
Symmetry-distinct sites (fractional):
Mg1 0.0000 0.0000 0.0000 (multiplicity 1)
Hg1 0.0000 0.5000 0.5000 (multiplicity 3)
Se1 0.5000 0.5000 0.5000 (multiplicity 1)



# MgHg2Se

An optimized crystal structure of MgHg2Se (GGA-PBEsol, the Alexandria database).

Computed properties:
Theoretical density (g/cm3): 8.9
Energy relative to the elements, uncorrected (meV/atom): -205
D(E_F) (states/eV/cell): 2.63
Spin magnetization (μB/f.u.): 0.000

a b c (Å): 3.9435 3.9435 20.9057
angles (deg): 90.00 90.00 120.00
Space group R-3m (No. 166, hexagonal axes)
Symmetry-distinct sites (fractional):
Mg1 0.0000 0.0000 0.0000 (multiplicity 3)
Hg1 0.0000 0.0000 0.2480 (multiplicity 6)
Se1 0.0000 0.0000 0.5000 (multiplicity 3)



# MgTlHg2Se

An optimized crystal structure of MgTlHg2Se (GGA-PBEsol, the Alexandria database).

Computed properties:
Theoretical density (g/cm3): 8.1
Energy relative to the elements, uncorrected (meV/atom): -97
D(E_F) (states/eV/cell): 1.82
Spin magnetization (μB/f.u.): 0.000

a b c (Å): 5.3752 5.3752 5.0200
angles (deg): 90.00 90.00 90.00
Space group P4/mmm (No. 123)
Symmetry-distinct sites (fractional):
Mg1 0.0000 0.0000 0.0000 (multiplicity 1)
Tl1 0.5000 0.5000 0.5000 (multiplicity 1)
Hg1 0.0000 0.5000 0.0000 (multiplicity 2)
Se1 0.0000 0.0000 0.5000 (multiplicity 1)



# MgSi2Hg

An optimized crystal structure of MgSi2Hg (GGA-PBEsol, the Alexandria database).

Computed properties:
Theoretical density (g/cm3): 6.2
Energy relative to the elements, uncorrected (meV/atom): 135
D(E_F) (states/eV/cell): 1.80
Spin magnetization (μB/f.u.): 0.000
Energy relative to the lowest polymorph listed for this composition (meV per atom): 0

a b c (Å): 2.8263 3.6566 7.3239
angles (deg): 90.00 90.00 90.00
Space group Pmm2 (No. 25)
Symmetry-distinct sites (fractional):
Mg1 0.0000 0.0000 0.0000 (multiplicity 1)
Si1 0.5000 0.0000 0.4400 (multiplicity 1)
Si2 0.5000 0.5000 0.2288 (multiplicity 1)
Hg1 0.5000 0.5000 0.7333 (multiplicity 1)



# MgSi2Hg

An optimized crystal structure of MgSi2Hg (GGA-PBEsol, the Alexandria database).

Computed properties:
Theoretical density (g/cm3): 6.2
Energy relative to the elements, uncorrected (meV/atom): 397
D(E_F) (states/eV/cell): 7.99
Spin magnetization (μB/f.u.): 0.000
Energy relative to the lowest polymorph listed for this composition (meV per atom): 262

a b c (Å): 6.7151 6.7151 6.7151
angles (deg): 90.00 90.00 90.00
Space group Fm-3m (No. 225)
Symmetry-distinct sites (fractional):
Mg1 0.0000 0.0000 0.0000 (multiplicity 4)
Si1 0.2500 0.2500 0.2500 (multiplicity 8)
Hg1 0.0000 0.0000 0.5000 (multiplicity 4)



# MgSiHg2

An optimized crystal structure of MgSiHg2 (GGA-PBEsol, the Alexandria database).

Computed properties:
Theoretical density (g/cm3): 9.4
Energy relative to the elements, uncorrected (meV/atom): 100
D(E_F) (states/eV/cell): 2.77
Spin magnetization (μB/f.u.): 0.000

a b c (Å): 10.1803 3.2250 4.9095
angles (deg): 90.00 94.29 90.00
Space group Cm (No. 8)
Symmetry-distinct sites (fractional):
Mg1 0.0000 0.0000 0.0000 (multiplicity 2)
Si1 0.2587 0.0000 0.7588 (multiplicity 2)
Hg1 0.2431 0.5000 0.2450 (multiplicity 2)
Hg2 0.4930 0.0000 0.5057 (multiplicity 2)



# MgSi2Hg

An optimized crystal structure of MgSi2Hg (GGA-PBEsol, the Alexandria database).

Computed properties:
Theoretical density (g/cm3): 6.4
Energy relative to the elements, uncorrected (meV/atom): 178
D(E_F) (states/eV/cell): 1.80
Spin magnetization (μB/f.u.): 0.000
Energy relative to the lowest polymorph listed for this composition (meV per atom): 43

a b c (Å): 2.8482 5.0099 5.0793
angles (deg): 90.00 90.00 90.00
Space group Pmmm (No. 47)
Symmetry-distinct sites (fractional):
Mg1 0.0000 0.0000 0.0000 (multiplicity 1)
Si1 0.5000 0.2447 0.5000 (multiplicity 2)
Hg1 0.5000 0.5000 0.0000 (multiplicity 1)



# MgSi2Hg

An optimized crystal structure of MgSi2Hg (GGA-PBEsol, the Alexandria database).

Computed properties:
Theoretical density (g/cm3): 6.5
Energy relative to the elements, uncorrected (meV/atom): 224
D(E_F) (states/eV/cell): 1.71
Spin magnetization (μB/f.u.): 0.000
Energy relative to the lowest polymorph listed for this composition (meV per atom): 88

a b c (Å): 3.9310 4.0906 4.4922
angles (deg): 90.00 90.00 90.00
Space group Pmmm (No. 47)
Symmetry-distinct sites (fractional):
Mg1 0.0000 0.0000 0.0000 (multiplicity 1)
Si1 0.0000 0.5000 0.5000 (multiplicity 1)
Si2 0.5000 0.0000 0.5000 (multiplicity 1)
Hg1 0.5000 0.5000 0.0000 (multiplicity 1)



# MgSiHg3

An optimized crystal structure of MgSiHg3 (GGA-PBEsol, the Alexandria database).

Computed properties:
Theoretical density (g/cm3): 8.3
Energy relative to the elements, uncorrected (meV/atom): 250
D(E_F) (states/eV/cell): 1.55
Spin magnetization (μB/f.u.): 0.000

a b c (Å): 5.0853 5.0853 5.0853
angles (deg): 90.00 90.00 90.00
Space group Pm-3m (No. 221)
Symmetry-distinct sites (fractional):
Mg1 0.0000 0.0000 0.0000 (multiplicity 1)
Si1 0.5000 0.5000 0.5000 (multiplicity 1)
Hg1 0.0000 0.5000 0.5000 (multiplicity 3)



# MgSi2Hg

An optimized crystal structure of MgSi2Hg (GGA-PBEsol, the Alexandria database).

Computed properties:
Theoretical density (g/cm3): 6.2
Energy relative to the elements, uncorrected (meV/atom): 304
D(E_F) (states/eV/cell): 1.59
Spin magnetization (μB/f.u.): 0.000
Energy relative to the lowest polymorph listed for this composition (meV per atom): 168

a b c (Å): 2.7871 2.7871 9.7451
angles (deg): 90.00 90.00 90.00
Space group P4/mmm (No. 123)
Symmetry-distinct sites (fractional):
Mg1 0.0000 0.0000 0.0000 (multiplicity 1)
Si1 0.5000 0.5000 0.2145 (multiplicity 2)
Hg1 0.0000 0.0000 0.5000 (multiplicity 1)